1) PBE-GGA PtPbBr4, optimized geometry; symmetry = F-43m, No. 216
1.0
0.0000 4.3545 4.3545
4.3545 0.0000 4.3545
4.3545 4.3545 0.0000
Pt Pb Br
1 1 4
Cartesian
0.0000 0.0000 0.0000
2.1773 2.1773 2.1773
5.4542 3.2549 3.2549
3.2549 5.4542 3.2549
3.2549 3.2549 5.4542
5.4542 5.4542 5.4542

2) PBE-GGA PtPbBr4, optimized geometry; symmetry = I-4, No. 82
1.0
-3.6292 3.6292 3.8736
3.6292 -3.6292 3.8736
3.6292 3.6292 -3.8736
Pt Pb Br
1 1 4
Cartesian
0.0000 0.0000 0.0000
0.0000 3.6292 1.9368
1.7427 1.7221 0.0044
1.9071 -1.8865 3.8692
1.7221 5.5157 -0.0044
1.8865 1.9071 3.8780

Which structure is the least stable? The one labeled 1).

1) PBE-GGA PtPbBr, optimized geometry; symmetry = P3m1, No. 156
1.0
4.0986 0.0000 0.0000
-2.0493 3.5495 0.0000
0.0000 0.0000 5.4479
Pt Pb Br
1 1 1
Cartesian
0.0000 0.0000 0.0000
0.0000 2.3663 4.0859
2.0493 1.1832 1.5369

2) PBE-GGA PtPbBr, optimized geometry; symmetry = Amm2, No. 38
1.0
12.5540 0.0000 0.0000
0.0000 1.7972 3.4600
0.0000 -1.7972 3.4600
Pt Pb Br
2 2 2
Cartesian
0.0000 0.0000 0.0000
6.2770 0.0000 1.7609
1.8335 0.0000 2.1831
10.7206 0.0000 2.1831
4.5918 0.0000 6.8749
7.9623 0.0000 6.8749

Which structure is the least stable? The one labeled 2).